--- w ---
Below is a relaxed TlIn3Ge crystal, with properties calculated at the PBE level.

Cell: 5.4767 5.4767 5.4767 Å, 90.00 90.00 90.00°
Closest atoms and distances in Å follow each position.
Positions (direct):
Tl: 0.0000 0.0000 0.0000  12 In 3.87
In: 0.0000 0.5000 0.5000  2 Ge 2.74
In: 0.5000 0.0000 0.5000  2 Ge 2.74
In: 0.5000 0.5000 0.0000  2 Ge 2.74
Ge: 0.5000 0.5000 0.5000  6 In 2.74


--- x ---
Below is a relaxed TlIn3Ge crystal, with properties calculated at the PBE level.

Cell: 5.6653 5.6653 5.6653 Å, 90.00 90.00 90.00°
Closest atoms and distances in Å follow each position.
Positions (direct):
Tl: 0.0000 0.0000 0.0000  6 In 2.83
In: 0.0000 0.0000 0.5000  2 Tl 2.83
In: 0.0000 0.5000 0.0000  2 Tl 2.83
In: 0.5000 0.0000 0.0000  2 Tl 2.83
Ge: 0.5000 0.5000 0.5000  12 In 4.01


Which structure wins on stability? w wins.


--- w ---
Below is a relaxed Tl2In2Ge crystal, with properties calculated at the PBE level.

Cell: 7.6517 7.6517 5.0444 Å, 90.00 90.00 90.00°
Closest atoms and distances in Å follow each position.
Positions (direct):
Tl: 0.1484 0.3516 0.0000  2 Ge 2.92, 1 Tl 3.21, 2 In 3.25
Tl: 0.3516 0.8516 0.0000  2 Ge 2.92, 1 Tl 3.21, 2 In 3.25
Tl: 0.6484 0.1484 0.0000  2 Ge 2.92, 1 Tl 3.21, 2 In 3.25
Tl: 0.8516 0.6484 0.0000  2 Ge 2.92, 1 Tl 3.21, 2 In 3.25
In: 0.1620 0.6620 0.5000  6 Tl 3.25-3.47, 1 In 3.51
In: 0.3380 0.1620 0.5000  6 Tl 3.25-3.47, 1 In 3.51
In: 0.6620 0.8380 0.5000  6 Tl 3.25-3.47, 1 In 3.51
In: 0.8380 0.3380 0.5000  6 Tl 3.25-3.47, 1 In 3.51
Ge: 0.0000 0.0000 0.0000  4 Tl 2.92
Ge: 0.5000 0.5000 0.0000  4 Tl 2.92


--- x ---
Below is a relaxed Tl2In2Ge crystal, with properties calculated at the PBE level.

Cell: 7.4135 7.4135 5.2729 Å, 90.00 90.00 90.00°
Closest atoms and distances in Å follow each position.
Positions (direct):
Tl: 0.1733 0.3267 0.0000  6 In 3.27-3.53, 1 Tl 3.63
Tl: 0.3267 0.8267 0.0000  6 In 3.27-3.53, 1 Tl 3.63
Tl: 0.6733 0.1733 0.0000  6 In 3.27-3.53, 1 Tl 3.63
Tl: 0.8267 0.6733 0.0000  6 In 3.27-3.53, 1 Tl 3.63
In: 0.1429 0.6429 0.5000  2 Ge 2.85, 1 In 3.00
In: 0.3571 0.1429 0.5000  2 Ge 2.85, 1 In 3.00
In: 0.6429 0.8571 0.5000  2 Ge 2.85, 1 In 3.00
In: 0.8571 0.3571 0.5000  2 Ge 2.85, 1 In 3.00
Ge: 0.0000 0.0000 0.5000  4 In 2.85
Ge: 0.5000 0.5000 0.5000  4 In 2.85


--- y ---
Below is a relaxed Tl2In2Ge crystal, with properties calculated at the PBE level.

Cell: 9.2760 9.2760 9.2760 Å, 154.44 154.44 36.47°
Closest atoms and distances in Å follow each position.
Positions (direct):
Tl: 0.0922 0.0922 0.0000  1 Tl 3.25, 4 Ge 3.33, 4 In 3.46
Tl: 0.9078 0.9078 0.0000  1 Tl 3.25, 4 Ge 3.33, 4 In 3.46
In: 0.2500 0.7500 0.5000  4 In 2.90
In: 0.7500 0.2500 0.5000  4 In 2.90
Ge: 0.5000 0.5000 0.0000  8 Tl 3.33


Which structure wins on stability? x wins.


--- w ---
Below is a relaxed TlInGe crystal, with properties calculated at the PBE level.

Cell: 8.9307 8.9307 3.8819 Å, 90.00 90.00 147.77°
Closest atoms and distances in Å follow each position.
Positions (direct):
Tl: 0.0915 0.9085 0.7500  6 Ge 3.24-3.44, 1 In 3.26
Tl: 0.9085 0.0915 0.2500  6 Ge 3.24-3.44, 1 In 3.26
In: 0.2812 0.7188 0.7500  1 Ge 2.94, 1 Tl 3.26
In: 0.7188 0.2812 0.2500  1 Ge 2.94, 1 Tl 3.26
Ge: 0.4526 0.5474 0.7500  2 Ge 2.53
Ge: 0.5474 0.4526 0.2500  2 Ge 2.53


--- x ---
Below is a relaxed TlInGe crystal, with properties calculated at the PBE level.

Cell: 3.3872 3.3872 7.8095 Å, 90.00 90.00 120.00°
Closest atoms and distances in Å follow each position.
Positions (direct):
Tl: 0.0000 0.0000 0.0000  3 Ge 3.25, 6 Tl 3.39, 3 In 3.48
In: 0.3333 0.6667 0.6314  3 Ge 3.05, 6 In 3.39
Ge: 0.6667 0.3333 0.3316  3 In 3.05, 3 Tl 3.25, 6 Ge 3.39


Which structure wins on stability? w wins.


--- w ---
Below is a relaxed TlInGe crystal, with properties calculated at the PBE level.

Cell: 6.9877 6.9877 6.9877 Å, 151.31 151.31 41.02°
Closest atoms and distances in Å follow each position.
Positions (direct):
Tl: 0.0000 0.0000 0.0000  4 Ge 3.26, 4 Tl 3.46, 4 In 3.56
In: 0.3028 0.3028 0.0000  4 Ge 3.05
Ge: 0.6642 0.6642 0.0000  4 In 3.05, 4 Tl 3.26


--- x ---
Below is a relaxed TlInGe crystal, with properties calculated at the PBE level.

Cell: 4.9539 4.9539 4.9539 Å, 60.00 60.00 60.00°
Closest atoms and distances in Å follow each position.
Positions (direct):
Tl: 0.0000 0.0000 0.0000  4 Ge 3.03
In: 0.5000 0.5000 0.5000  4 Ge 3.03
Ge: 0.7500 0.7500 0.7500  4 In 3.03, 4 Tl 3.03


Which structure wins on stability? x wins.